No. 1
First-principles (PBE) data for a relaxed structure of Ca2TeBr, as listed in Alexandria.

The structure belongs to space group I-42d (No. 122); the cell edges are 6.8467, 6.8467 and 14.0891 Å and the angles 90.00°, 90.00° and 90.00°. The inequivalent atoms are Ca at (0.2434, 0.2500, 0.1250), Te at (0.0000, 0.0000, 0.5000) and Br at (0.0000, 0.0000, 0.0000).

Its offset from the most stable computed form is 193.0 meV/atom. Its raw formation energy is -1.2536 eV/atom.

=====

No. 2
First-principles (PBE) data for a relaxed structure of WC2I, as listed in Alexandria.

The structure belongs to space group I-42d (No. 122); the cell edges are 5.7042, 5.7042 and 9.6437 Å and the angles 90.00°, 90.00° and 90.00°. The inequivalent atoms are W at (0.0000, 0.0000, 0.0000), C at (0.1061, 0.2500, 0.1250) and I at (0.0000, 0.0000, 0.5000).

Its offset from the most stable computed form is 0.0 meV/atom. Its raw formation energy is 1.4029 eV/atom.

=====

No. 3
First-principles (PBE) data for a relaxed structure of Ac3Mg4Ir4, as listed in Alexandria.

The structure belongs to space group Immm (No. 71); the cell edges are 4.2494, 7.9904 and 14.8973 Å and the angles 90.00°, 90.00° and 90.00°. The inequivalent atoms are Ac at (0.0000, 0.0000, 0.0000), Ac at (0.0000, 0.5000, 0.1188), Mg at (0.0000, 0.3106, 0.3247), Ir at (0.0000, 0.0000, 0.2270) and Ir at (0.0000, 0.1903, 0.5000).

The calculation puts the formation energy at -487 meV/atom. Its offset from the most stable computed form is 0.0 meV/atom.

=====

No. 4
First-principles (PBE) data for a relaxed structure of LiPmTiGa, as listed in Alexandria.

The structure belongs to space group F-43m (No. 216); the cell edges are 6.8813, 6.8813 and 6.8813 Å and the angles 90.00°, 90.00° and 90.00°. The inequivalent atoms are Li at (0.0000, 0.0000, 0.0000), Pm at (0.2500, 0.2500, 0.7500), Ti at (0.2500, 0.2500, 0.2500) and Ga at (0.0000, 0.0000, 0.5000).

The calculation puts the formation energy at -100 meV/atom.

=====

The evaluated raw total energy for the records listed, in turn: -55.329; -109.358; -119.004; -71.938 eV/cell.